--- i ---
A relaxed structure of MnBP3, computed with PBE.

Cell lengths 4.3154, 4.3154, 4.3154 Å; angles 90.00, 90.00, 90.00 degrees
With the nearest neighbours (Å) after each atom.
Fractional positions:
P  0.0000  0.5000  0.0000  2 Mn 2.16
P  0.0000  0.0000  0.5000  2 Mn 2.16
Mn  0.0000  0.0000  0.0000  6 P 2.16
P  0.5000  0.0000  0.0000  2 Mn 2.16
B  0.5000  0.5000  0.5000  12 P 3.05

Properties
- total magnetization (μB per cell) = 0.003
- V (A^3/atom) = 16.1

***

--- ii ---
A relaxed structure of MnBP3, computed with PBE.

Cell lengths 3.9874, 3.9874, 3.9874 Å; angles 90.00, 90.00, 90.00 degrees
With the nearest neighbours (Å) after each atom.
Fractional positions:
P  0.5000  0.0000  0.0000  2 B 1.99
Mn  0.5000  0.5000  0.5000  12 P 2.82
P  0.0000  0.0000  0.5000  2 B 1.99
P  0.0000  0.5000  0.0000  2 B 1.99
B  0.0000  0.0000  0.0000  6 P 1.99

Properties
- total magnetization (μB per cell) = 0.000
- V (A^3/atom) = 12.7

***

Which structure loses on stability? i does.